18
Lattice="7.1893 -3.8049 0.0000 7.1893 3.8049 0.0000 0.0000 0.0000 7.6519" Properties=species:S:1:pos:R:3 comment="Ca2Pr2S5 (PBE-GGA, optimized geometry)" e_form_raw_ev_per_fu=-18.19 final_energy_ev_per_atom=-5.821 pbc="T T T"
Ca 7.1893 2.5893 6.4271
Ca 7.1893 1.2156 2.6011
Ca 7.1893 -1.2156 5.0507
Ca 7.1893 -2.5893 1.2248
Pr 2.8112 0.0000 3.8259
Pr 4.3782 0.0000 0.0000
Pr 10.0005 0.0000 0.0000
Pr 11.5675 0.0000 3.8259
S 0.0000 0.0000 3.8259
S 5.1674 2.5885 1.1765
S 5.1674 1.2164 5.0024
S 9.2113 2.5885 1.1765
S 9.2113 1.2164 5.0024
S 7.1893 0.0000 0.0000
S 5.1674 -1.2164 2.6494
S 5.1674 -2.5885 6.4754
S 9.2113 -1.2164 2.6494
S 9.2113 -2.5885 6.4754

---

14
Lattice="-4.3148 4.3148 4.3320 4.3148 -4.3148 4.3320 4.3148 4.3148 -4.3320" Properties=species:S:1:pos:R:3 comment="CaPr5S8 (PBE-GGA, optimized geometry)" e_form_raw_ev_per_fu=-28.64 final_energy_ev_per_atom=-6.254 pbc="T T T"
Ca 0.0000 0.0000 0.0000
Pr 5.4089 2.1603 -1.1173
Pr 4.3148 0.0000 2.1660
Pr 2.1603 3.2207 1.1173
Pr -1.0941 2.1545 3.2147
Pr 2.1545 1.0941 5.4493
S 2.7737 0.6175 -0.4127
S 2.7900 3.6585 -1.6809
S 3.6973 -1.5411 4.7447
S 1.5248 0.6563 2.6511
S 4.9711 2.7900 1.6809
S 0.6175 5.8559 0.4127
S -0.6563 1.5248 6.0129
S 1.5411 3.6973 3.9193

---

5
Lattice="5.6011 0.0000 0.0000 0.0000 5.6011 0.0000 0.0000 0.0000 5.6011" Properties=species:S:1:pos:R:3 comment="CaPr3S (PBE-GGA, optimized geometry)" e_form_raw_ev_per_fu=-3.51 final_energy_ev_per_atom=-4.795 pbc="T T T"
Ca 0.0000 0.0000 0.0000
Pr 0.0000 2.8006 2.8006
Pr 2.8006 0.0000 2.8006
Pr 2.8006 2.8006 0.0000
S 2.8006 2.8006 2.8006

---

16
Lattice="8.2274 0.0000 0.0000 0.0000 11.5574 0.0000 0.0000 0.0000 4.0645" Properties=species:S:1:pos:R:3 comment="CaPr3S4 (PBE-GGA, optimized geometry)" relative_energy_mev_per_atom=0.0 e_form_raw_ev_per_fu=-16.27 final_energy_ev_per_atom=-6.140 pbc="T T T"
Ca 0.0000 0.0000 0.0000
Ca 4.1137 5.7787 0.0000
Pr 0.0000 5.7787 0.0000
Pr 2.0569 2.8893 2.0322
Pr 2.0569 8.6680 2.0322
Pr 4.1137 0.0000 0.0000
Pr 6.1706 2.8893 2.0322
Pr 6.1706 8.6680 2.0322
S 0.0000 2.8354 0.0000
S 0.0000 8.7220 0.0000
S 1.9986 0.0000 2.0322
S 2.1151 5.7787 2.0322
S 4.1137 2.9433 0.0000
S 4.1137 8.6141 0.0000
S 6.1123 5.7787 2.0322
S 6.2288 0.0000 2.0322